First-principles (PBE-GGA) data for a geometry-optimized HfBCl2 structure, as listed in Alexandria.

Output
space-group type: Fm-3m, No. 225
E above lowest polymorph: 513 meV/atom
energy relative to the elements, uncorrected: 457 meV/atom
spin magnetization: 0.00 μB per formula unit

The structure in POSCAR format:
```
HfBCl2
1.0
0.0000 3.1573 3.1573
3.1573 0.0000 3.1573
3.1573 3.1573 0.0000
B Hf Cl
1 1 2
Direct
0.0000 0.0000 0.0000 B
0.5000 0.5000 0.5000 Hf
0.2500 0.2500 0.2500 Cl
0.7500 0.7500 0.7500 Cl
```